## CsK2NaAg (PBE)

Data for a geometry-optimized CsK2NaAg structure.

Results
calculated total energy	-1.363	eV/atom
size of the total moment	0.0	μB per formula unit
ΔH_f (0 K)	0.080	eV/atom
E above lowest polymorph	26.1	meV per atom

abc: 6.6746 6.6746 7.2002
angles: 90.00 90.00 90.00
Positions (direct):
K1 0.0000 0.5000 0.0000
K2 0.5000 0.0000 0.0000
Na1 0.5000 0.5000 0.5000
Ag1 0.0000 0.0000 0.0000
Cs1 0.0000 0.0000 0.5000